BaZr2Ag: relaxed, PBE-GGA.

Summary:
Energy of formation from the pure elements: 0.555 eV per atom
Size of the total moment: 2.7 μB/cell
Excess energy over the best structure of this formula in the dataset: 440.2 meV per atom
Space group: No. 216

Unit cell a=5.3438 b=5.3438 c=5.3438 alpha=60.00 beta=60.00 gamma=60.00
With the nearest neighbours (Å) after each atom.
Fractional positions:
Ba1 0.0000 0.0000 0.0000  4 Zr 3.27, 4 Ag 3.27
Zr1 0.2500 0.2500 0.2500  4 Ba 3.27, 4 Zr 3.27
Zr2 0.5000 0.5000 0.5000  4 Zr 3.27, 4 Ag 3.27
Ag1 0.7500 0.7500 0.7500  4 Zr 3.27, 4 Ba 3.27


BaZr2Ag: relaxed, PBE-GGA.

Summary:
Energy of formation from the pure elements: 0.619 eV per atom
Size of the total moment: 0.0 μB/cell
Excess energy over the best structure of this formula in the dataset: 503.6 meV per atom
Space group: No. 65

Unit cell a=6.1805 b=6.1805 c=3.1841 alpha=90.00 beta=90.00 gamma=120.58
With the nearest neighbours (Å) after each atom.
Fractional positions:
Ba1 0.0000 0.0000 0.0000  2 Ag 3.06, 2 Ba 3.18
Zr1 0.0000 0.5000 0.5000  4 Zr 3.06-3.18
Zr2 0.5000 0.0000 0.5000  4 Zr 3.06-3.18
Ag1 0.5000 0.5000 0.0000  2 Ba 3.06, 2 Ag 3.18